Record 1
A plane-wave DFT calculation with meta-GGA SCAN was carried out for Bi6Se3Br2O14 at its PBEsol-relaxed geometry.

Summary:
Spin magnetization = 0.0 Bohr magnetons per cell
Formation energy from raw total energies = -106 kJ per mole of atoms
N(E_F) = 0.00 states/eV per atom
Theoretical density = 7.333 g/cm3
Symmetry = P-1, No. 2

Cell lengths 7.1072, 10.9474, 12.0982 Å; angles 67.74, 81.92, 77.58 degrees
With the nearest neighbours (Å) after each atom.
Element x y z (fractional)
1 Bi 0.0492 0.1392 0.3569  4 O 2.20-2.35
2 Bi 0.1581 0.7556 0.3893  3 O 2.16-2.34
3 Bi 0.2055 0.7936 0.9336  5 O 2.23-2.43
4 Bi 0.3062 0.4160 0.0055  4 O 2.23-2.48
5 Bi 0.3585 0.0396 0.6235  4 O 2.23-2.49
6 Bi 0.4357 0.6782 0.6764  3 O 2.21-2.27
7 Bi 0.5643 0.3218 0.3236  3 O 2.21-2.27
8 Bi 0.6415 0.9604 0.3765  4 O 2.23-2.49
9 Bi 0.6938 0.5840 0.9945  4 O 2.23-2.48
10 Bi 0.7945 0.2064 0.0664  5 O 2.23-2.43
11 Bi 0.8419 0.2444 0.6107  3 O 2.16-2.34
12 Bi 0.9508 0.8608 0.6431  4 O 2.20-2.35
13 Se 0.0266 0.5173 0.2063  3 O 1.71-1.76
14 Se 0.2631 0.4051 0.5593  3 O 1.71-1.74
15 Se 0.3282 0.0471 0.1330  3 O 1.72-1.74
16 Se 0.6718 0.9529 0.8670  3 O 1.72-1.74
17 Se 0.7369 0.5949 0.4407  3 O 1.71-1.74
18 Se 0.9734 0.4827 0.7937  3 O 1.71-1.76
19 Br 0.0933 0.1098 0.8470  4 Bi 3.17-3.50, 1 O 3.36
20 Br 0.4268 0.6896 0.1658  3 Bi 3.00-3.30, 2 O 3.28-3.35
21 Br 0.5732 0.3104 0.8342  3 Bi 3.00-3.30, 2 O 3.28-3.35
22 Br 0.9067 0.8902 0.1530  4 Bi 3.17-3.50, 1 O 3.36
23 O 0.0669 0.0545 0.5658  3 Bi 2.23-2.35
24 O 0.0744 0.5926 0.0505  1 Se 1.76
25 O 0.1247 0.1680 0.1202  1 Se 1.72
26 O 0.1582 0.2786 0.5522  1 Se 1.74
27 O 0.1770 0.5362 0.8050  1 Se 1.71
28 O 0.1782 0.7334 0.5727  3 Bi 2.16-2.21
29 O 0.1987 0.5263 0.4251  1 Se 1.71
30 O 0.2001 0.3762 0.2262  1 Se 1.72
31 O 0.2257 0.8305 0.7385  4 Bi 2.23-2.49
32 O 0.3125 0.9556 0.2858  1 Se 1.74
33 O 0.4117 0.6105 0.9161  3 Bi 2.23-2.28
34 O 0.4647 0.1276 0.4290  3 Bi 2.23-2.26
35 O 0.4888 0.1433 0.1361  1 Se 1.72
36 O 0.4972 0.3402 0.5260  1 Se 1.72
37 O 0.5028 0.6598 0.4740  1 Se 1.72
38 O 0.5112 0.8567 0.8639  1 Se 1.72
39 O 0.5353 0.8724 0.5710  3 Bi 2.23-2.26
40 O 0.5883 0.3895 0.0839  3 Bi 2.23-2.28
41 O 0.6875 0.0444 0.7142  1 Se 1.74
42 O 0.7743 0.1695 0.2615  4 Bi 2.23-2.49
43 O 0.7999 0.6238 0.7738  1 Se 1.72
44 O 0.8013 0.4737 0.5749  1 Se 1.71
45 O 0.8218 0.2666 0.4273  3 Bi 2.16-2.21
46 O 0.8230 0.4638 0.1950  1 Se 1.71
47 O 0.8418 0.7214 0.4478  1 Se 1.74
48 O 0.8753 0.8320 0.8798  1 Se 1.72
49 O 0.9256 0.4074 0.9495  1 Se 1.76
50 O 0.9331 0.9455 0.4342  3 Bi 2.23-2.35

***

Record 2
A plane-wave DFT calculation with meta-GGA SCAN was carried out for TaBi4BrO8 at its PBEsol-relaxed geometry.

Summary:
Spin magnetization = 0.0 Bohr magnetons per cell
Formation energy from raw total energies = -161 kJ per mole of atoms
N(E_F) = 0.00 states/eV per atom
Theoretical density = 9.239 g/cm3
Symmetry = Pbcn, No. 60

Cell lengths 5.4844, 5.5218, 29.0759 Å; angles 90.00, 90.00, 90.00 degrees
With the nearest neighbours (Å) after each atom.
Element x y z (fractional)
1 Ta 0.0000 0.0166 0.2500  6 O 1.91-2.08
2 Ta 0.0000 0.9834 0.7500  6 O 1.91-2.08
3 Ta 0.5000 0.4834 0.7500  6 O 1.91-2.08
4 Ta 0.5000 0.5166 0.2500  6 O 1.91-2.08
5 Bi 0.0087 0.0094 0.5703  4 O 2.21-2.28
6 Bi 0.0087 0.9906 0.0703  4 O 2.21-2.28
7 Bi 0.0200 0.4507 0.3414  4 O 2.26-2.36
8 Bi 0.0200 0.5493 0.8414  4 O 2.26-2.36
9 Bi 0.4800 0.0493 0.8414  4 O 2.26-2.36
10 Bi 0.4800 0.9507 0.3414  4 O 2.26-2.36
11 Bi 0.4913 0.4906 0.0703  4 O 2.21-2.28
12 Bi 0.4913 0.5094 0.5703  4 O 2.21-2.28
13 Bi 0.5087 0.4906 0.4297  4 O 2.21-2.28
14 Bi 0.5087 0.5094 0.9297  4 O 2.21-2.28
15 Bi 0.5200 0.0493 0.6586  4 O 2.26-2.36
16 Bi 0.5200 0.9507 0.1586  4 O 2.26-2.36
17 Bi 0.9800 0.4507 0.1586  4 O 2.26-2.36
18 Bi 0.9800 0.5493 0.6586  4 O 2.26-2.36
19 Bi 0.9913 0.0094 0.9297  4 O 2.21-2.28
20 Bi 0.9913 0.9906 0.4297  4 O 2.21-2.28
21 Br 0.0000 0.5000 0.0000  8 Bi 3.38-3.48, 8 O 3.66-3.73
22 Br 0.0000 0.5000 0.5000  8 Bi 3.38-3.48, 8 O 3.66-3.73
23 Br 0.5000 0.0000 0.0000  8 Bi 3.38-3.48, 8 O 3.66-3.73
24 Br 0.5000 0.0000 0.5000  8 Bi 3.38-3.48, 8 O 3.66-3.73
25 O 0.0953 0.0659 0.3150  1 Ta 1.98
26 O 0.0953 0.9341 0.8150  1 Ta 1.98
27 O 0.2458 0.2937 0.2352  2 Ta 1.91-2.08
28 O 0.2458 0.7063 0.7352  2 Ta 1.91-2.08
29 O 0.2470 0.2417 0.1090  3 Bi 2.21-2.36
30 O 0.2470 0.7583 0.6090  3 Bi 2.21-2.36
31 O 0.2488 0.2512 0.8931  3 Bi 2.22-2.28
32 O 0.2488 0.7488 0.3931  3 Bi 2.22-2.28
33 O 0.2512 0.2488 0.3931  3 Bi 2.22-2.28
34 O 0.2512 0.7512 0.8931  3 Bi 2.22-2.28
35 O 0.2530 0.2583 0.6090  3 Bi 2.21-2.36
36 O 0.2530 0.7417 0.1090  3 Bi 2.21-2.36
37 O 0.2542 0.2063 0.7352  2 Ta 1.91-2.08
38 O 0.2542 0.7937 0.2352  2 Ta 1.91-2.08
39 O 0.4047 0.4341 0.8150  1 Ta 1.98
40 O 0.4047 0.5659 0.3150  1 Ta 1.98
41 O 0.5953 0.4341 0.6850  1 Ta 1.98
42 O 0.5953 0.5659 0.1850  1 Ta 1.98
43 O 0.7458 0.2063 0.7648  2 Ta 1.91-2.08
44 O 0.7458 0.7937 0.2648  2 Ta 1.91-2.08
45 O 0.7470 0.2583 0.8910  3 Bi 2.21-2.36
46 O 0.7470 0.7417 0.3910  3 Bi 2.21-2.36
47 O 0.7488 0.2488 0.1069  3 Bi 2.22-2.28
48 O 0.7488 0.7512 0.6069  3 Bi 2.22-2.28
49 O 0.7512 0.2512 0.6069  3 Bi 2.22-2.28
50 O 0.7512 0.7488 0.1069  3 Bi 2.22-2.28
51 O 0.7530 0.2417 0.3910  3 Bi 2.21-2.36
52 O 0.7530 0.7583 0.8910  3 Bi 2.21-2.36
53 O 0.7542 0.2937 0.2648  2 Ta 1.91-2.08
54 O 0.7542 0.7063 0.7648  2 Ta 1.91-2.08
55 O 0.9047 0.0659 0.1850  1 Ta 1.98
56 O 0.9047 0.9341 0.6850  1 Ta 1.98

***

- Which of these has the lowest theoretical density?
  Bi6Se3Br2O14

***

- What is the theoretical density in the second record?
  9.239 g/cm3